Material: Ce2PrHg
Method: DFT, PBE
State: relaxed

Results
The density of states at the Fermi level comes out at 3.57 states/eV per atom. The value obtained for the total energy is -4.202 eV per atom. The value obtained for the offset from the most stable computed form is 0.49 eV/f.u. Its space group is Fm-3m (225).

```
Ce2PrHg
1.0
-3.6077 3.0161 -2.7577
-4.9991 0.7965 2.0229
-1.4338 4.9173 1.8658
Pr Hg Ce
1 1 2
Direct
0.5000 0.5000 0.5000
0.0000 0.0000 0.0000
0.2500 0.2500 0.2500
0.7500 0.7500 0.7500
```